(1)
This record from Alexandria via LeMat-Bulk describes an optimized crystal structure of Cr3FeNi12. The functional is GGA-PBE.

Lattice parameters (Å, degrees): 3.5460 3.5460 14.2103 90.00 90.00 90.00
Fractional positions:
Cr (0.0000, 0.0000, 0.2498)
Cr (0.0000, 0.0000, 0.5000)
Cr (0.0000, 0.0000, 0.7502)
Fe (0.0000, 0.0000, 0.0000)
Ni (0.5000, 0.5000, 0.0000)
Ni (0.5000, 0.5000, 0.2498)
Ni (0.5000, 0.5000, 0.5000)
Ni (0.5000, 0.5000, 0.7502)
Ni (0.5000, 0.0000, 0.1244)
Ni (0.5000, 0.0000, 0.3743)
Ni (0.5000, 0.0000, 0.6257)
Ni (0.5000, 0.0000, 0.8756)
Ni (0.0000, 0.5000, 0.1244)
Ni (0.0000, 0.5000, 0.3743)
Ni (0.0000, 0.5000, 0.6257)
Ni (0.0000, 0.5000, 0.8756)

Raw total energy, eV/f.u.: -107.06
D(E_F), states/eV/f.u.: 20.13

---

(2)
This record from Alexandria via LeMat-Bulk describes an optimized crystal structure of CrFe3Ni. The functional is GGA-PBE.

Lattice parameters (Å, degrees): 4.2482 4.2482 4.2482 90.00 90.00 90.00
Fractional positions:
Ni (0.0000, 0.0000, 0.0000)
Fe (0.0000, 0.5000, 0.0000)
Fe (0.0000, 0.0000, 0.5000)
Fe (0.5000, 0.0000, 0.0000)
Cr (0.5000, 0.5000, 0.5000)

Raw total energy, eV/f.u.: -33.97
D(E_F), states/eV/f.u.: 13.22

---

(3)
This record from Alexandria via LeMat-Bulk describes an optimized crystal structure of CrFe2Ni. The functional is GGA-PBE.

Lattice parameters (Å, degrees): 4.3406 4.3406 4.3986 81.06 81.06 33.40
Fractional positions:
Cr (0.2500, 0.2500, 0.2500)
Fe (0.0029, 0.0029, 0.9971)
Fe (0.4971, 0.4971, 0.5029)
Ni (0.7500, 0.7500, 0.7500)

Raw total energy, eV/f.u.: -31.97
D(E_F), states/eV/f.u.: 5.25

---

(4)
This record from Alexandria via LeMat-Bulk describes an optimized crystal structure of CrFe2Ni. The functional is GGA-PBE.

Lattice parameters (Å, degrees): 2.5379 3.5362 5.0606 90.00 90.00 90.00
Fractional positions:
Ni (0.5000, 0.5000, 0.2500)
Fe (0.0000, 0.0000, 0.0021)
Fe (0.0000, 0.0000, 0.4979)
Cr (0.5000, 0.5000, 0.7500)

Raw total energy, eV/f.u.: -32.12
D(E_F), states/eV/f.u.: 4.10

---

(5)
This record from Alexandria via LeMat-Bulk describes an optimized crystal structure of CrFe3Ni6. The functional is GGA-PBE.

Lattice parameters (Å, degrees): 6.9142 4.7381 4.7381 59.54 65.48 65.48
Fractional positions:
Cr (0.5000, 0.5000, 0.5000)
Fe (0.3096, 0.0440, 0.0440)
Fe (0.6904, 0.9560, 0.9560)
Fe (0.0000, 0.0000, 0.0000)
Ni (0.3081, 0.0540, 0.5376)
Ni (0.6919, 0.4624, 0.9460)
Ni (0.6919, 0.9460, 0.4624)
Ni (0.3081, 0.5376, 0.0540)
Ni (0.0708, 0.6450, 0.6450)
Ni (0.9292, 0.3550, 0.3550)

Raw total energy, eV/f.u.: -68.17
D(E_F), states/eV/f.u.: 10.44

---

(6)
This record from Alexandria via LeMat-Bulk describes an optimized crystal structure of CrFeNi2. The functional is GGA-PBE.

Lattice parameters (Å, degrees): 4.0152 4.0152 4.0152 60.00 60.00 60.00
Fractional positions:
Cr (0.5000, 0.5000, 0.5000)
Fe (0.7500, 0.7500, 0.7500)
Ni (0.0000, 0.0000, 0.0000)
Ni (0.2500, 0.2500, 0.2500)

Raw total energy, eV/f.u.: -29.31
D(E_F), states/eV/f.u.: 3.43

---

(7)
This record from Alexandria via LeMat-Bulk describes an optimized crystal structure of CrFeNi2. The functional is GGA-PBE.

Lattice parameters (Å, degrees): 4.3179 4.3179 4.4285 81.49 81.49 33.16
Fractional positions:
Cr (0.5007, 0.5007, 0.4928)
Fe (0.7482, 0.7482, 0.7550)
Ni (0.0010, 0.0010, 0.9990)
Ni (0.2501, 0.2501, 0.2532)

Raw total energy, eV/f.u.: -29.47
D(E_F), states/eV/f.u.: 4.76

---

(8)
This record from Alexandria via LeMat-Bulk describes an optimized crystal structure of CrFe2Ni. The functional is GGA-PBE.

Lattice parameters (Å, degrees): 2.9709 2.9709 5.2629 90.00 90.00 90.00
Fractional positions:
Cr (0.5000, 0.5000, 0.7525)
Fe (0.0000, 0.0000, 0.9947)
Fe (0.5000, 0.5000, 0.2539)
Ni (0.0000, 0.0000, 0.4989)

Raw total energy, eV/f.u.: -32.01
D(E_F), states/eV/f.u.: 2.85

---

(9)
This record from Alexandria via LeMat-Bulk describes an optimized crystal structure of CrFe2Ni2. The functional is GGA-PBE.

Lattice parameters (Å, degrees): 6.6894 6.6894 2.4844 90.00 90.00 90.00
Fractional positions:
Ni (0.3748, 0.8748, 0.0000)
Ni (0.8748, 0.6252, 0.0000)
Ni (0.6252, 0.1252, 0.0000)
Ni (0.1252, 0.3748, 0.0000)
Fe (0.1728, 0.6728, 0.5000)
Fe (0.6728, 0.8272, 0.5000)
Fe (0.8272, 0.3272, 0.5000)
Fe (0.3272, 0.1728, 0.5000)
Cr (0.0000, 0.0000, 0.0000)
Cr (0.5000, 0.5000, 0.0000)

Raw total energy, eV/f.u.: -36.20
D(E_F), states/eV/f.u.: 8.89

---

(10)
This record from Alexandria via LeMat-Bulk describes an optimized crystal structure of CrFe2Ni. The functional is GGA-PBE.

Lattice parameters (Å, degrees): 4.3824 4.3824 4.3824 131.93 131.92 70.35
Fractional positions:
Ni (0.7500, 0.2500, 0.5000)
Fe (0.0000, 0.0000, 0.0000)
Fe (0.5000, 0.5000, 0.0000)
Cr (0.2500, 0.7500, 0.5000)

Raw total energy, eV/f.u.: -32.39
D(E_F), states/eV/f.u.: 2.54

---

(11)
This record from Alexandria via LeMat-Bulk describes an optimized crystal structure of Cr2Fe2Ni. The functional is GGA-PBE.

Lattice parameters (Å, degrees): 6.5725 6.5725 2.6129 90.00 90.00 90.00
Fractional positions:
Ni (0.0000, 0.0000, 0.0000)
Ni (0.5000, 0.5000, 0.0000)
Fe (0.3659, 0.8659, 0.0000)
Fe (0.8659, 0.6341, 0.0000)
Fe (0.6341, 0.1341, 0.0000)
Fe (0.1341, 0.3659, 0.0000)
Cr (0.1675, 0.6675, 0.5000)
Cr (0.6675, 0.8325, 0.5000)
Cr (0.8325, 0.3325, 0.5000)
Cr (0.3325, 0.1675, 0.5000)

Raw total energy, eV/f.u.: -41.01
D(E_F), states/eV/f.u.: 3.91